A | The following is a DFT calculation (GGA-PBEsol) of ZrTaSi2 after structural relaxation.

**V**: 127.7 Å³ per cell

abc: 3.7233 3.5784 9.5843
angles: 90.00 90.00 90.00
Last column: nearest neighbours and their distance in Å.
Space group Amm2 (No. 38)
Asymmetric unit:
Zr1 0.0000 0.0000 0.0000  7 Si 2.64-2.80
Ta1 0.5000 0.0000 0.7095  7 Si 2.66-2.78
Si1 0.0000 0.0000 0.2751  2 Si 2.39, 1 Zr 2.64, 4 Ta 2.66
Si2 0.5000 0.0000 0.4316  2 Si 2.39, 4 Zr 2.66, 1 Ta 2.66


B | The following is a DFT calculation (GGA-PBEsol) of ZrTaSi2 after structural relaxation.

**V**: 131.3 Å³ per cell

abc: 5.9802 7.5475 2.9938
angles: 90.00 103.75 90.00
Last column: nearest neighbours and their distance in Å.
Space group C2/m (No. 12)
Asymmetric unit:
Zr1 0.0000 0.0000 0.0000  4 Si 2.64
Ta1 0.0000 0.5000 0.0000  4 Si 2.64
Si1 0.2500 0.2500 0.5000  2 Zr 2.64, 2 Ta 2.64


Pick A: it beats the second-best structure by 290 meV/atom.


A | The following is a DFT calculation (GGA-PBEsol) of CaSb2H2 after structural relaxation.

**V**: 178.3 Å³ per cell

abc: 4.2395 4.2395 9.9174
angles: 90.00 90.00 90.00
Last column: nearest neighbours and their distance in Å.
Space group I4/mmm (No. 139)
Asymmetric unit:
Ca1 0.0000 0.0000 0.0000  8 H 3.26, 10 Sb 3.33-3.51
Sb1 0.0000 0.0000 0.3541  4 H 2.36
H1 0.0000 0.5000 0.2500  4 Sb 2.36


B | The following is a DFT calculation (GGA-PBEsol) of CaSb2H2 after structural relaxation.

**V**: 190.1 Å³ per cell

abc: 4.3520 4.3520 10.0361
angles: 90.00 90.00 90.00
Last column: nearest neighbours and their distance in Å.
Space group I4/mmm (No. 139)
Asymmetric unit:
Ca1 0.0000 0.0000 0.0000  8 H 3.10, 8 Sb 3.32
Sb1 0.0000 0.5000 0.2500  4 H 3.04, 4 Sb 3.08, 4 Ca 3.32
H1 0.0000 0.0000 0.4609  1 H 0.79


Pick B: it beats the second-best structure by 470 meV/atom.


A | The following is a DFT calculation (GGA-PBEsol) of Tl2Sb after structural relaxation.

**V**: 200.8 Å³ per cell

abc: 5.6589 7.7191 4.5970
angles: 90.00 90.00 90.00
Last column: nearest neighbours and their distance in Å.
Space group Pnnm (No. 58)
Asymmetric unit:
Tl1 0.1956 0.1336 0.0000  1 Tl 3.03, 3 Sb 3.04-3.05
Sb1 0.0000 0.5000 0.0000  6 Tl 3.04-3.05


B | The following is a DFT calculation (GGA-PBEsol) of Tl2Sb after structural relaxation.

**V**: 3048.7 Å³ per cell

abc: 14.5001 14.5001 14.5001
angles: 90.00 90.00 90.00
Last column: nearest neighbours and their distance in Å.
Space group Fd-3m (No. 227, origin choice 2)
Asymmetric unit:
Tl1 0.0000 0.0000 0.0000  6 Sb 3.42, 6 Tl 3.43
Tl2 0.0923 0.3750 0.8750  4 Sb 3.08-3.37, 2 Tl 3.43
Sb1 0.0149 0.0149 0.2351  9 Tl 3.08-3.42


Pick B: it beats the second-best structure by 33 meV/atom.


A | The following is a DFT calculation (GGA-PBEsol) of Tl2AgP after structural relaxation.

**V**: 90.6 Å³ per cell

abc: 3.3577 3.3577 8.0340
angles: 90.00 90.00 90.00
Last column: nearest neighbours and their distance in Å.
Space group P4mm (No. 99)
Asymmetric unit:
Tl1 0.0000 0.0000 0.0000  4 P 3.18, 1 Ag 3.18, 4 Tl 3.36
Tl2 0.5000 0.5000 0.3350  4 Ag 3.21, 1 P 3.23, 8 Tl 3.36-3.59
Ag1 0.0000 0.0000 0.6040  4 P 2.60
P1 0.5000 0.5000 0.7372  4 Ag 2.60


B | The following is a DFT calculation (GGA-PBEsol) of Tl2AgP after structural relaxation.

**V**: 181.2 Å³ per cell

abc: 3.3010 4.8300 11.3627
angles: 90.00 90.00 90.00
Last column: nearest neighbours and their distance in Å.
Space group Imm2 (No. 44)
Asymmetric unit:
Tl1 0.0000 0.0000 0.0000  4 Ag 3.03, 4 Tl 3.26-3.30
Tl2 0.0000 0.5000 0.1921  4 P 3.03, 4 Tl 3.26-3.30
Ag1 0.0000 0.0000 0.4290  2 P 2.50
P1 0.0000 0.5000 0.7632  2 Ag 2.50


Pick A: it beats the second-best structure by 42 meV/atom.